The following is a DFT calculation (GGA-PBE) of a relaxed structure of NaHoAg2F6.

Summary:
Symmetry: P1 (1)
Size of the total moment, μB per formula unit: 0.14
E_tot, eV per cell: -48.6
Uncorrected formation energy, eV/atom: -2.58

Lattice parameters (Å, degrees): 6.084 6.056 6.196 59.37 59.19 58.89
Last column: magnetic moment on the atom in μB.
Sites, in units of the cell vectors:
Na 0.816 0.816 0.551  0.00
Ho 0.316 0.316 0.052  0.00
Ag 0.584 0.530 0.321  0.05
Ag 0.048 0.101 0.788  0.05
F 0.613 0.163 0.238  0.01
F 0.219 0.940 0.288  0.01
F 0.990 0.495 0.360  0.01
F 0.413 0.692 0.808  0.01
F 0.644 0.136 0.744  0.01
F 0.018 0.472 0.866  0.01